Compound: CeCo6Si4
Source: Alexandria
Functional: PBE-GGA
Structure: optimized geometry

Unit cell a=6.609 b=6.609 c=3.632 alpha=90.00 beta=90.00 gamma=120.00
Positions (direct):
Ce (0.000, 0.000, 0.000)
Co (0.204, 0.408, 0.500)
Co (0.204, 0.796, 0.500)
Co (0.534, 0.067, 0.000)
Co (0.534, 0.466, 0.000)
Co (0.592, 0.796, 0.500)
Co (0.933, 0.466, 0.000)
Si (0.333, 0.667, 0.000)
Si (0.403, 0.201, 0.500)
Si (0.799, 0.201, 0.500)
Si (0.799, 0.597, 0.500)

Calculated values
**Energy relative to the elements, uncorrected**: -14.73 kcal/mol of atoms
**M_tot**: 0.00 μB/f.u.
**Uncorrected energy**: -7.026 eV per atom
**Space group**: P-6m2, No. 187
**N(E_F)**: 6.32 states/eV/f.u.